# meta-GGA SCAN PtRh2Cl, single point on PBEsol structure
data_PtRh2Cl
_symmetry_space_group_name_H-M 'P 1'
_symmetry_Int_Tables_number 1
_cell_length_a 4.358
_cell_length_b 4.358
_cell_length_c 4.358
_cell_angle_alpha 60.00
_cell_angle_beta 60.00
_cell_angle_gamma 60.00
loop_
_symmetry_equiv_pos_as_xyz
'x,y,z'
loop_
_atom_site_label
_atom_site_fract_x
_atom_site_fract_y
_atom_site_fract_z
Pt1 0.000 0.000 0.000
Rh1 0.500 0.500 0.500
Rh2 0.750 0.750 0.750
Cl1 0.250 0.250 0.250
# crystal system: cubic
# mass density: 12.38 g/cm3
# relative energy among the computed polymorphs: 0.3544 eV/atom
# SG: F-43m (216)
# M_tot: 0.00 μB per cell